Material: HoCu5Ni2
Method: DFT, PBE
State: relaxed

Computed properties:
For the formation enthalpy at 0 K, the calculation gives -0.057 eV/atom. Its space group is Immm (71).

Cell: 3.7173 5.8756 5.8756 Å, 74.67 71.56 71.56°
With the nearest neighbours (Å) after each atom.
Sites, in units of the cell vectors:
Cu 0.6526 0.5258 0.1690  3 Ni 2.38-2.48, 4 Cu 2.54-2.62
Cu 0.0000 0.5000 0.5000  2 Ni 2.34, 8 Cu 2.60
Cu 0.3474 0.8310 0.4742  3 Ni 2.38-2.48, 4 Cu 2.54-2.62
Ho 0.0000 0.0000 0.0000  4 Ni 2.69
Cu 0.6526 0.1690 0.5258  3 Ni 2.38-2.48, 4 Cu 2.54-2.62
Ni 0.2735 0.2265 0.2265  7 Cu 2.34-2.48
Cu 0.3474 0.4742 0.8310  3 Ni 2.38-2.48, 4 Cu 2.54-2.62
Ni 0.7265 0.7735 0.7735  7 Cu 2.34-2.48

Material: Rb2SrTl2
Method: DFT, PBE
State: relaxed

Computed properties:
For the formation enthalpy at 0 K, the calculation gives 0.075 eV/atom. Its energy above the most stable polymorph in this dataset is 0.0941 eV per atom. Its space group is P4/mbm (127).

Cell: 10.5263 10.5263 4.0693 Å, 90.00 90.00 90.00°
With the nearest neighbours (Å) after each atom.
Sites, in units of the cell vectors:
Sr 0.5000 0.5000 0.0000  2 Sr 4.07, 4 Rb 4.17, 8 Tl 4.37
Sr 0.0000 0.0000 0.0000  2 Sr 4.07, 4 Rb 4.17, 8 Tl 4.37
Rb 0.3757 0.8757 0.0000  6 Tl 3.57-3.82, 1 Rb 3.70
Rb 0.6243 0.1243 0.0000  6 Tl 3.57-3.82, 1 Rb 3.70
Tl 0.1784 0.6784 0.5000  6 Rb 3.57-3.82
Rb 0.8757 0.6243 0.0000  6 Tl 3.57-3.82, 1 Rb 3.70
Tl 0.8216 0.3216 0.5000  6 Rb 3.57-3.82
Rb 0.1243 0.3757 0.0000  6 Tl 3.57-3.82, 1 Rb 3.70
Tl 0.6784 0.8216 0.5000  6 Rb 3.57-3.82
Tl 0.3216 0.1784 0.5000  6 Rb 3.57-3.82

Material: Sn3Te2I2
Method: DFT, PBE
State: relaxed

Computed properties:
The value obtained for the uncorrected formation energy is -0.3624 eV per atom. Its energy above the most stable polymorph in this dataset is 0.0000 eV per atom. Its space group is C2/m (12).

Cell: 4.5533 8.1023 7.8448 Å, 99.54 106.87 90.00°
With the nearest neighbours (Å) after each atom.
Sites, in units of the cell vectors:
Sn 0.0000 0.0000 0.0000  2 I 3.18, 4 Te 3.20
Te 0.3738 0.1160 0.7477  5 Sn 3.01-3.20
Sn 0.2524 0.7788 0.5048  3 Te 3.01-3.17, 2 I 3.30
I 0.1209 0.3638 0.2418  3 Sn 3.18-3.30
Sn 0.7476 0.2212 0.4952  3 Te 3.01-3.17, 2 I 3.30
Te 0.6262 0.8840 0.2523  5 Sn 3.01-3.20
I 0.8791 0.6362 0.7582  3 Sn 3.18-3.30

Material: Hf2SbRu2
Method: DFT, PBE
State: relaxed

Computed properties:
The value obtained for the uncorrected formation energy is -0.4252 eV per atom. Its space group is P4/mbm (127).

Cell: 7.5741 7.5741 3.2459 Å, 90.00 90.00 90.00°
With the nearest neighbours (Å) after each atom.
Sites, in units of the cell vectors:
Hf 0.1575 0.6575 0.5000  6 Ru 2.73-2.76
Sb 0.0000 0.0000 0.0000  4 Ru 2.94, 2 Sb 3.25, 8 Hf 3.28
Sb 0.5000 0.5000 0.0000  4 Ru 2.94, 2 Sb 3.25, 8 Hf 3.28
Hf 0.8425 0.3425 0.5000  6 Ru 2.73-2.76
Ru 0.8630 0.6370 0.0000  6 Hf 2.73-2.76, 1 Ru 2.93, 2 Sb 2.94
Ru 0.1370 0.3630 0.0000  6 Hf 2.73-2.76, 1 Ru 2.93, 2 Sb 2.94
Ru 0.6370 0.1370 0.0000  6 Hf 2.73-2.76, 1 Ru 2.93, 2 Sb 2.94
Hf 0.3425 0.1575 0.5000  6 Ru 2.73-2.76
Ru 0.3630 0.8630 0.0000  6 Hf 2.73-2.76, 1 Ru 2.93, 2 Sb 2.94
Hf 0.6575 0.8425 0.5000  6 Ru 2.73-2.76

Material: CeAlIn2Pd4
Method: DFT, PBE
State: relaxed

Computed properties:
For the formation enthalpy at 0 K, the calculation gives -0.648 eV/atom. Its space group is R-3m (166).

Cell: 4.5738 4.5738 8.8183 Å, 74.97 74.97 60.00°
With the nearest neighbours (Å) after each atom.
Sites, in units of the cell vectors:
In 0.2459 0.2459 0.2624  7 Pd 2.70-2.90
Pd 0.8655 0.8655 0.4036  3 Al 2.76, 4 In 2.81-2.90
Ce 0.0000 0.0000 0.0000  8 Pd 3.12-3.40, 6 In 3.44
Pd 0.6008 0.6008 0.1976  1 Al 2.54, 3 In 2.70
Pd 0.1345 0.1345 0.5964  3 Al 2.76, 4 In 2.81-2.90
In 0.7541 0.7541 0.7376  7 Pd 2.70-2.90
Pd 0.3992 0.3992 0.8024  1 Al 2.54, 3 In 2.70
Al 0.5000 0.5000 0.5000  8 Pd 2.54-2.76

Material: MgH2F6
Method: DFT, PBE
State: relaxed

Computed properties:
The total energy comes out at -4.05 eV/atom. Its space group is C2/c (15).

Cell: 5.8323 5.9780 5.9780 Å, 94.11 101.50 101.50°
With the nearest neighbours (Å) after each atom.
Sites, in units of the cell vectors:
H 0.2078 0.4182 0.0431  1 F 1.05
F 0.6120 0.0328 0.2048  1 H 1.28
F 0.9363 0.4773 0.3821  1 F 1.44
H 0.2922 0.9569 0.5818  1 F 1.05
F 0.7833 0.0437 0.5936  1 H 1.05
F 0.5637 0.6179 0.5227  1 F 1.44
F 0.3880 0.9672 0.7952  1 H 1.28
H 0.7078 0.0431 0.4182  1 F 1.05
F 0.7167 0.4064 0.9563  1 H 1.05
H 0.7922 0.5818 0.9569  1 F 1.05
F 0.1120 0.2048 0.0328  1 H 1.28
Mg 0.2500 0.9192 0.0808  6 F 2.00-2.05
Mg 0.7500 0.0808 0.9192  6 F 2.00-2.05
F 0.4363 0.3821 0.4773  1 F 1.44
F 0.0637 0.5227 0.6179  1 F 1.44
F 0.2167 0.9563 0.4064  1 H 1.05
F 0.2833 0.5936 0.0437  1 H 1.05
F 0.8880 0.7952 0.9672  1 H 1.28

Material: ErTm3Sc5
Method: DFT, PBE
State: relaxed

Computed properties:
For the formation enthalpy at 0 K, the calculation gives 0.304 eV/atom. Its space group is I4/mcm (140).

Cell: 8.3048 8.3048 9.1691 Å, 116.93 116.93 90.00°
With the nearest neighbours (Å) after each atom.
Sites, in units of the cell vectors:
Sc 0.3393 0.8393 0.2686  1 Tm 2.81, 1 Er 2.91
Tm 0.1183 0.3817 0.0000  1 Tm 2.78, 2 Sc 2.81
Er 0.7500 0.2500 0.5000  4 Sc 2.91
Sc 0.1607 0.0707 0.7314  1 Tm 2.81, 1 Er 2.91
Tm 0.6183 0.1183 0.0000  1 Tm 2.78, 2 Sc 2.81
Tm 0.2500 0.2500 0.5000  10 Sc 3.40-3.52
Tm 0.8817 0.6183 0.0000  1 Tm 2.78, 2 Sc 2.81
Sc 0.0000 0.0000 0.0000  6 Tm 3.32-3.52, 8 Sc 3.53
Sc 0.9293 0.4293 0.2686  1 Tm 2.81, 1 Er 2.91
Er 0.2500 0.7500 0.5000  4 Sc 2.91
Sc 0.4293 0.3393 0.2686  1 Tm 2.81, 1 Er 2.91
Sc 0.0707 0.5707 0.7314  1 Tm 2.81, 1 Er 2.91
Sc 0.6607 0.1607 0.7314  1 Tm 2.81, 1 Er 2.91
Tm 0.7500 0.7500 0.5000  10 Sc 3.40-3.52
Sc 0.5000 0.5000 0.0000  6 Tm 3.32-3.52, 8 Sc 3.53
Tm 0.3817 0.8817 0.0000  1 Tm 2.78, 2 Sc 2.81
Sc 0.5707 0.6607 0.7314  1 Tm 2.81, 1 Er 2.91
Sc 0.8393 0.9293 0.2686  1 Tm 2.81, 1 Er 2.91

Material: Cr2CuRu
Method: DFT, PBE
State: relaxed

Computed properties:
For the formation enthalpy at 0 K, the calculation gives 0.194 eV/atom. Its space group is P4/mmm (123).

Cell: 3.6777 3.6789 3.7363 Å, 90.00 90.00 90.00°
With the nearest neighbours (Å) after each atom.
Sites, in units of the cell vectors:
Ru 0.0000 0.5000 0.5000  4 Cu 2.60, 8 Cr 2.62
Cr 0.5000 0.5000 0.0000  4 Cr 2.60, 4 Ru 2.62, 4 Cu 2.62
Cu 0.5000 0.0000 0.5000  4 Ru 2.60, 8 Cr 2.62
Cr 0.0000 0.0000 0.0000  4 Cr 2.60, 4 Cu 2.62, 4 Ru 2.62

Material: TlTcP2
Method: DFT, PBE
State: relaxed

Computed properties:
For the formation enthalpy at 0 K, the calculation gives 0.089 eV/atom. Its energy above the most stable polymorph in this dataset is 0.1679 eV per atom. Its space group is P4mm (99).

Cell: 3.1157 3.1153 8.5106 Å, 90.00 90.00 90.00°
With the nearest neighbours (Å) after each atom.
Sites, in units of the cell vectors:
Tc 0.0000 0.0000 0.2943  5 P 2.22-2.40
P 0.5000 0.5000 0.4067  4 Tc 2.40
P 0.0000 0.0000 0.0335  1 Tc 2.22
Tl 0.5000 0.5000 0.7655  5 P 3.05-3.17, 4 Tl 3.12

Material: Ir2RuSe
Method: DFT, PBE
State: relaxed

Computed properties:
The value obtained for the uncorrected formation energy is 0.5699 eV per atom. Its space group is Cmm2 (35).

Cell: 2.7740 2.7740 9.3698 Å, 90.00 90.00 120.83°
With the nearest neighbours (Å) after each atom.
Sites, in units of the cell vectors:
Ir 0.5000 0.5000 0.2542  2 Ru 2.67, 8 Ir 2.68-2.77
Ir 0.0000 0.0000 0.0078  8 Ir 2.68-2.77, 2 Se 2.86
Ru 0.0000 0.0000 0.4988  2 Se 2.64, 2 Ir 2.67, 6 Ru 2.74-2.77
Se 0.5000 0.5000 0.7392  2 Ru 2.64, 6 Se 2.74-2.77, 2 Ir 2.86